TbInPb after structural relaxation, computed with PBE.

Results
ΔE_f, meV per atom: -310
Fermi-level density of states, states/eV per atom: 0.6653
Size of the total moment, μB/f.u.: 0.0
Energy above the lowest structure with this stoichiometry, kJ/mol of formula units: 21
Space group: Cmcm (63)

abc: 4.724 3.572 10.194
angles: 100.09 90.00 90.00
Atoms (fractional coordinates):
Tb 0.750 0.111 0.722
Tb 0.250 0.889 0.278
In 0.250 0.541 0.582
Pb 0.250 0.698 0.897
Pb 0.750 0.302 0.103
In 0.750 0.459 0.418